The following is a DFT calculation (PBE) of an optimized crystal structure of Si2Mo2Pt.

a = 6.1744 Å, b = 6.1744 Å, c = 3.8021 Å
α = 90.00°, β = 90.00°, γ = 90.00°
Fractional coordinates of all 10 atoms:
1 Si 0.1316 0.3684 0.0000
2 Si 0.8684 0.6316 0.0000
3 Si 0.3684 0.8684 0.0000
4 Si 0.6316 0.1316 0.0000
5 Pt 0.5000 0.5000 0.0000
6 Pt 0.0000 0.0000 0.0000
7 Mo 0.3253 0.1747 0.5000
8 Mo 0.6747 0.8253 0.5000
9 Mo 0.1747 0.6747 0.5000
10 Mo 0.8253 0.3253 0.5000

Computed properties:
Crystal system = tetragonal
Total moment = 0.000 μB/atom
Volume = 145 Å³ per cell
Density of states at the Fermi level = 0.44 states/eV per atom
E_form (uncorrected) = -0.3590 eV per atom

---

The following is a DFT calculation (PBE) of an optimized crystal structure of Ac4NiAsBr2.

a = 4.2950 Å, b = 8.0522 Å, c = 8.1359 Å
α = 107.17°, β = 90.00°, γ = 90.00°
Fractional coordinates of all 8 atoms:
1 As 0.5000 0.5000 0.0000
2 Ac 0.5000 0.7882 0.8014
3 Ac 0.0000 0.2555 0.7825
4 Ac 0.5000 0.2118 0.1986
5 Ac 0.0000 0.7445 0.2175
6 Br 0.0000 0.5000 0.5000
7 Br 0.5000 0.0000 0.5000
8 Ni 0.0000 0.0000 0.0000

Computed properties:
Crystal system = monoclinic
Total moment = 0.000 μB/atom
Volume = 269 Å³ per cell
Density of states at the Fermi level = 0.68 states/eV per atom
E_form (uncorrected) = -1.0910 eV per atom

---

The following is a DFT calculation (PBE) of an optimized crystal structure of IrCl4.

a = 5.1617 Å, b = 5.1617 Å, c = 5.1617 Å
α = 109.47°, β = 109.47°, γ = 109.47°
Fractional coordinates of all 5 atoms:
1 Ir 0.0000 0.0000 0.0000
2 Cl 0.0000 0.5000 0.0000
3 Cl 0.0000 0.0000 0.5000
4 Cl 0.5000 0.0000 0.0000
5 Cl 0.5000 0.5000 0.5000

Computed properties:
Crystal system = cubic
Total moment = 0.000 μB/atom
Volume = 106 Å³ per cell
Density of states at the Fermi level = 1.16 states/eV per atom
E_form (uncorrected) = 0.4437 eV per atom

---

The following is a DFT calculation (PBE) of an optimized crystal structure of Mg2Zn3AgAu6.

a = 3.8796 Å, b = 3.8796 Å, c = 17.9140 Å
α = 90.00°, β = 90.00°, γ = 90.00°
Fractional coordinates of all 12 atoms:
1 Au 0.5000 0.0000 0.6190
2 Au 0.0000 0.5000 0.3810
3 Au 0.0000 0.0000 0.1391
4 Au 0.0000 0.0000 0.8609
5 Au 0.0000 0.5000 0.6190
6 Au 0.5000 0.0000 0.3810
7 Zn 0.0000 0.0000 0.7212
8 Zn 0.0000 0.0000 0.2788
9 Zn 0.0000 0.0000 0.0000
10 Mg 0.5000 0.5000 0.8333
11 Mg 0.5000 0.5000 0.1667
12 Ag 0.5000 0.5000 0.5000

Computed properties:
Crystal system = tetragonal
Total moment = 0.000 μB/atom
Volume = 270 Å³ per cell
DFT formation energy = -0.074 eV per atom
Density of states at the Fermi level = 0.25 states/eV per atom

---

The following is a DFT calculation (PBE) of an optimized crystal structure of Sr4Br2N.

a = 5.4947 Å, b = 5.4947 Å, c = 8.4551 Å
α = 71.04°, β = 71.04°, γ = 90.00°
Fractional coordinates of all 7 atoms:
1 Br 0.3874 0.3874 0.2253
2 Br 0.6126 0.6126 0.7747
3 Sr 0.1773 0.1773 0.6454
4 Sr 0.8227 0.8227 0.3546
5 Sr 0.5000 0.0000 0.0000
6 Sr 0.0000 0.5000 0.0000
7 N 0.0000 0.0000 0.0000

Computed properties:
Crystal system = tetragonal
Total moment = 0.094 μB/atom
Volume = 227 Å³ per cell
Density of states at the Fermi level = 0.54 states/eV per atom
E_form (uncorrected) = -0.9529 eV per atom

---

The following is a DFT calculation (PBE) of an optimized crystal structure of TaNb2Al.

a = 3.5594 Å, b = 4.4520 Å, c = 4.4520 Å
α = 90.00°, β = 90.00°, γ = 90.00°
Fractional coordinates of all 4 atoms:
1 Nb 0.0000 0.5000 0.0000
2 Nb 0.0000 0.0000 0.5000
3 Ta 0.5000 0.0000 0.0000
4 Al 0.5000 0.5000 0.5000

Computed properties:
Crystal system = tetragonal
Total moment = 0.000 μB/atom
Volume = 71 Å³ per cell
DFT formation energy = -0.168 eV per atom
Density of states at the Fermi level = 0.66 states/eV per atom

---

The following is a DFT calculation (PBE) of an optimized crystal structure of Nd5Ag2.

a = 7.8756 Å, b = 6.8465 Å, c = 8.8959 Å
α = 88.66°, β = 116.27°, γ = 90.00°
Fractional coordinates of all 14 atoms:
1 Ag 0.1108 0.4838 0.7722
2 Ag 0.8892 0.5162 0.2278
3 Ag 0.6614 0.9838 0.7722
4 Ag 0.3386 0.0162 0.2278
5 Nd 0.2409 0.5231 0.1792
6 Nd 0.5253 0.7500 0.0000
7 Nd 0.7684 0.2802 0.4509
8 Nd 0.0617 0.9769 0.8208
9 Nd 0.2316 0.7198 0.5491
10 Nd 0.4747 0.2500 0.0000
11 Nd 0.9383 0.0231 0.1792
12 Nd 0.6825 0.7802 0.4509
13 Nd 0.3175 0.2198 0.5491
14 Nd 0.7591 0.4769 0.8208

Computed properties:
Crystal system = monoclinic
Total moment = 0.000 μB/atom
Volume = 430 Å³ per cell
DFT formation energy = -0.084 eV per atom
Density of states at the Fermi level = 1.04 states/eV per atom

---

The following is a DFT calculation (PBE) of an optimized crystal structure of Li5Pr2Mg5.

a = 5.0120 Å, b = 5.6774 Å, c = 10.2836 Å
α = 90.00°, β = 90.00°, γ = 90.00°
Fractional coordinates of all 12 atoms:
1 Mg 0.0000 0.0000 0.1740
2 Mg 0.5000 0.0000 0.0000
3 Mg 0.0000 0.5000 0.3329
4 Mg 0.0000 0.0000 0.8260
5 Mg 0.0000 0.5000 0.6671
6 Li 0.5000 0.5000 0.5000
7 Li 0.5000 0.2505 0.7472
8 Li 0.5000 0.7495 0.7472
9 Li 0.5000 0.7495 0.2528
10 Li 0.5000 0.2505 0.2528
11 Pr 0.0000 0.0000 0.5000
12 Pr 0.0000 0.5000 0.0000

Computed properties:
Crystal system = orthorhombic
Total moment = 0.000 μB/atom
Volume = 293 Å³ per cell
DFT formation energy = -0.005 eV per atom
Density of states at the Fermi level = 0.77 states/eV per atom